Entry 1:
Below is a relaxed Tb2Dy2Tm7 crystal, with properties calculated at the PBE level.

**Formation enthalpy at 0 K**: 0.120 eV/atom
**Space-group type**: C2/m, No. 12

abc: 6.395 6.395 8.564
angles: 97.75 97.75 92.99
Sites, in units of the cell vectors:
Tb  0.177  0.823  0.000
Tb  0.823  0.177  0.000
Dy  0.103  0.103  0.357
Dy  0.897  0.897  0.643
Tm  0.057  0.420  0.710
Tm  0.350  0.350  0.094
Tm  0.420  0.057  0.710
Tm  0.500  0.500  0.500
Tm  0.580  0.943  0.290
Tm  0.650  0.650  0.906
Tm  0.943  0.580  0.290

Entry 2:
Below is a relaxed CsUMnTe3 crystal, with properties calculated at the PBE level.

**Space-group type**: P2_1/m, No. 11
**Formation energy without anion corrections**: -646 meV per atom

abc: 10.411 4.482 10.850
angles: 90.00 112.46 90.00
Sites, in units of the cell vectors:
Cs  0.212  0.250  0.246
Cs  0.788  0.750  0.754
U  0.329  0.750  0.853
U  0.671  0.250  0.147
Mn  0.080  0.250  0.595
Mn  0.920  0.750  0.405
Te  0.121  0.250  0.858
Te  0.202  0.750  0.542
Te  0.471  0.750  0.161
Te  0.529  0.250  0.839
Te  0.798  0.250  0.458
Te  0.879  0.750  0.142

| no. | total magnetic moment (Bohr magnetons per cell) |
| --- | --- |
| 1 | 0.0 |
| 2 | 14.1 |